No. 1
# AcHo2Zr, relaxed, DFT PBE
data_AcHo2Zr
_chemical_formula_sum 'Ac3 Ho6 Zr3'
_cell_length_a 3.4762
_cell_length_b 3.4762
_cell_length_c 36.6920
_cell_angle_alpha 90.00
_cell_angle_beta 90.00
_cell_angle_gamma 120.00
_space_group_name_H-M_alt 'R -3 m'
_space_group_IT_number 166
_space_group_name_Hall '-R 3 2"'
loop_
_atom_site_label
_atom_site_fract_x
_atom_site_fract_y
_atom_site_fract_z
Ac1 0.0000 0.0000 0.0000
Ho1 0.0000 0.0000 0.4161
Zr1 0.0000 0.0000 0.5000
# Energy relative to the elements (eV/atom): 0.435
# Relative energy among the computed polymorphs (eV per atom): 0.2780
# M_tot (μB per atom): 0.0000


No. 2
# Ac2HoZr, relaxed, DFT PBE
data_Ac2HoZr
_chemical_formula_sum 'Ac6 Ho3 Zr3'
_cell_length_a 3.5948
_cell_length_b 3.5948
_cell_length_c 37.6319
_cell_angle_alpha 90.00
_cell_angle_beta 90.00
_cell_angle_gamma 120.00
_space_group_name_H-M_alt 'R -3 m'
_space_group_IT_number 166
_space_group_name_Hall '-R 3 2"'
loop_
_atom_site_label
_atom_site_fract_x
_atom_site_fract_y
_atom_site_fract_z
Ac1 0.0000 0.0000 0.0851
Ho1 0.0000 0.0000 0.5000
Zr1 0.0000 0.0000 0.0000
# Energy relative to the elements (eV/atom): 0.462
# Relative energy among the computed polymorphs (eV per atom): 0.2504
# M_tot (μB per atom): 0.0000


No. 3
# AcHoZr, relaxed, DFT PBE
data_AcHoZr
_chemical_formula_sum 'Ac2 Ho2 Zr2'
_cell_length_a 3.521
_cell_length_b 3.521
_cell_length_c 15.450
_cell_angle_alpha 90.00
_cell_angle_beta 90.00
_cell_angle_gamma 90.00
_space_group_name_H-M_alt 'I 4 m m'
_space_group_IT_number 107
_space_group_name_Hall 'I 4 -2'
loop_
_atom_site_label
_atom_site_fract_x
_atom_site_fract_y
_atom_site_fract_z
Ac1 0.000 0.000 0.000
Ho1 0.000 0.000 0.693
Zr1 0.000 0.000 0.333
# Energy relative to the elements (eV/atom): 0.185
# Relative energy among the computed polymorphs (eV per atom): 0.1133
# M_tot (μB per atom): 0.0000


No. 4
# AcHo2Zr, relaxed, DFT PBE
data_AcHo2Zr
_chemical_formula_sum 'Ac1 Ho2 Zr1'
_cell_length_a 4.031
_cell_length_b 4.031
_cell_length_c 7.900
_cell_angle_alpha 90.00
_cell_angle_beta 90.00
_cell_angle_gamma 90.00
_space_group_name_H-M_alt 'P 4/m m m'
_space_group_IT_number 123
_space_group_name_Hall '-P 4 2'
loop_
_atom_site_label
_atom_site_fract_x
_atom_site_fract_y
_atom_site_fract_z
Ac1 0.000 0.000 0.000
Ho1 0.500 0.500 0.296
Zr1 0.000 0.000 0.500
# Energy relative to the elements (eV/atom): 0.181
# Relative energy among the computed polymorphs (eV per atom): 0.0241
# M_tot (μB per atom): 0.0114


> The highest energy relative to the elements belongs to which entry?

Ac2HoZr